[1]
Below is a relaxed structure of NbPbAu2, with properties calculated at the PBE level.

abc: 6.832 6.832 6.832
angles: 90.00 90.00 90.00
Element x y z (fractional)
Nb (0.000, 0.000, 0.000)
Nb (0.000, 0.500, 0.500)
Nb (0.500, 0.000, 0.500)
Nb (0.500, 0.500, 0.000)
Pb (0.250, 0.250, 0.750)
Pb (0.250, 0.750, 0.250)
Pb (0.750, 0.250, 0.250)
Pb (0.750, 0.750, 0.750)
Au (0.000, 0.000, 0.500)
Au (0.000, 0.500, 0.000)
Au (0.250, 0.250, 0.250)
Au (0.250, 0.750, 0.750)
Au (0.500, 0.000, 0.000)
Au (0.500, 0.500, 0.500)
Au (0.750, 0.250, 0.750)
Au (0.750, 0.750, 0.250)

Calculated values
V, Å³/f.u.: 80
Uncorrected energy, eV/f.u.: -19.11
Symmetry: F-43m, No. 216

[2]
Below is a relaxed structure of La2Sm2CI2Br3, with properties calculated at the PBE level.

abc: 9.772 9.772 8.587
angles: 101.63 101.63 23.89
Element x y z (fractional)
La (0.001, 0.001, 0.293)
La (0.999, 0.999, 0.707)
Sm (0.367, 0.367, 0.432)
Sm (0.633, 0.633, 0.568)
C (0.500, 0.500, 0.500)
I (0.175, 0.175, 0.318)
I (0.825, 0.825, 0.682)
Br (0.160, 0.160, 0.824)
Br (0.500, 0.500, 0.000)
Br (0.840, 0.840, 0.176)

Calculated values
V, Å³/f.u.: 325
Uncorrected energy, eV/f.u.: -49.99
Symmetry: C2/m, No. 12

[3]
Below is a relaxed structure of Lu4CuAuC2, with properties calculated at the PBE level.

abc: 3.575 3.575 13.555
angles: 90.00 90.00 120.00
Element x y z (fractional)
Lu (0.000, 0.000, 0.150)
Lu (0.000, 0.000, 0.850)
Lu (0.333, 0.667, 0.340)
Lu (0.333, 0.667, 0.660)
Cu (0.333, 0.667, 0.000)
Au (0.000, 0.000, 0.500)
C (0.667, 0.333, 0.246)
C (0.667, 0.333, 0.754)

Calculated values
V, Å³/f.u.: 150
Uncorrected energy, eV/f.u.: -46.89
Symmetry: P-6m2, No. 187

[4]
Below is a relaxed structure of Cu2Ag, with properties calculated at the PBE level.

abc: 2.736 2.736 19.450
angles: 90.00 90.00 120.00
Element x y z (fractional)
Cu (0.000, 0.000, 0.000)
Cu (0.000, 0.000, 0.307)
Cu (0.000, 0.000, 0.667)
Cu (0.333, 0.667, 0.205)
Cu (0.333, 0.667, 0.898)
Cu (0.667, 0.333, 0.103)
Ag (0.333, 0.667, 0.552)
Ag (0.667, 0.333, 0.423)
Ag (0.667, 0.333, 0.782)

Calculated values
DFT formation energy, eV/f.u.: 0.3
V, Å³/f.u.: 42
Symmetry: P3m1, No. 156
ΔE to the lowest computed polymorph, meV/atom: 55

[5]
Below is a relaxed structure of PmTaGa, with properties calculated at the PBE level.

abc: 6.926 6.926 6.926
angles: 90.00 90.00 90.00
Element x y z (fractional)
Pm (0.000, 0.000, 0.000)
Pm (0.000, 0.500, 0.500)
Pm (0.500, 0.000, 0.500)
Pm (0.500, 0.500, 0.000)
Ta (0.250, 0.250, 0.250)
Ta (0.250, 0.750, 0.750)
Ta (0.750, 0.250, 0.750)
Ta (0.750, 0.750, 0.250)
Ga (0.250, 0.250, 0.750)
Ga (0.250, 0.750, 0.250)
Ga (0.750, 0.250, 0.250)
Ga (0.750, 0.750, 0.750)

Calculated values
V, Å³/f.u.: 83
Symmetry: F-43m, No. 216
ΔE to the lowest computed polymorph, meV/atom: 826

[6]
Below is a relaxed structure of PaSiPb, with properties calculated at the PBE level.

abc: 6.831 6.831 6.831
angles: 90.00 90.00 90.00
Element x y z (fractional)
Pa (0.000, 0.000, 0.000)
Pa (0.000, 0.500, 0.500)
Pa (0.500, 0.000, 0.500)
Pa (0.500, 0.500, 0.000)
Si (0.250, 0.250, 0.250)
Si (0.250, 0.750, 0.750)
Si (0.750, 0.250, 0.750)
Si (0.750, 0.750, 0.250)
Pb (0.000, 0.000, 0.500)
Pb (0.000, 0.500, 0.000)
Pb (0.500, 0.000, 0.000)
Pb (0.500, 0.500, 0.500)

Calculated values
V, Å³/f.u.: 80
Symmetry: F-43m, No. 216
ΔE to the lowest computed polymorph, meV/atom: 0

[7]
Below is a relaxed structure of Zn2PBr, with properties calculated at the PBE level.

abc: 5.762 5.762 11.617
angles: 90.00 90.00 90.00
Element x y z (fractional)
Zn (0.179, 0.750, 0.125)
Zn (0.250, 0.179, 0.875)
Zn (0.250, 0.321, 0.375)
Zn (0.321, 0.750, 0.625)
Zn (0.679, 0.250, 0.625)
Zn (0.750, 0.679, 0.375)
Zn (0.750, 0.821, 0.875)
Zn (0.821, 0.250, 0.125)
P (0.000, 0.000, 0.000)
P (0.000, 0.500, 0.250)
P (0.500, 0.000, 0.750)
P (0.500, 0.500, 0.500)
Br (0.000, 0.000, 0.500)
Br (0.000, 0.500, 0.750)
Br (0.500, 0.000, 0.250)
Br (0.500, 0.500, 0.000)

Calculated values
V, Å³/f.u.: 96
Uncorrected energy, eV/f.u.: -11.45
Symmetry: I-42d, No. 122

[8]
Below is a relaxed structure of Zr4PbAuC2, with properties calculated at the PBE level.

abc: 3.376 3.376 14.608
angles: 90.00 90.00 120.00
Element x y z (fractional)
Zr (0.000, 0.000, 0.155)
Zr (0.000, 0.000, 0.845)
Zr (0.667, 0.333, 0.328)
Zr (0.667, 0.333, 0.672)
Pb (0.000, 0.000, 0.500)
Au (0.667, 0.333, 0.000)
C (0.333, 0.667, 0.243)
C (0.333, 0.667, 0.757)

Calculated values
V, Å³/f.u.: 144
Uncorrected energy, eV/f.u.: -64.89
Symmetry: P-6m2, No. 187

[9]
Below is a relaxed structure of Sr2ZnGe2O7, with properties calculated at the PBE level.

abc: 9.339 8.014 10.531
angles: 90.00 121.87 90.00
Element x y z (fractional)
Sr (0.071, 0.235, 0.024)
Sr (0.071, 0.265, 0.524)
Sr (0.411, 0.557, 0.705)
Sr (0.411, 0.943, 0.205)
Sr (0.589, 0.057, 0.795)
Sr (0.589, 0.443, 0.295)
Sr (0.929, 0.735, 0.476)
Sr (0.929, 0.765, 0.976)
Zn (0.216, 0.587, 0.887)
Zn (0.216, 0.913, 0.387)
Zn (0.784, 0.087, 0.613)
Zn (0.784, 0.413, 0.113)
Ge (0.162, 0.556, 0.296)
Ge (0.162, 0.944, 0.796)
Ge (0.395, 0.239, 0.430)
Ge (0.395, 0.261, 0.930)
Ge (0.605, 0.739, 0.070)
Ge (0.605, 0.761, 0.570)
Ge (0.838, 0.056, 0.204)
Ge (0.838, 0.444, 0.704)
O (0.005, 0.534, 0.870)
O (0.005, 0.966, 0.370)
O (0.137, 0.550, 0.449)
O (0.137, 0.950, 0.949)
O (0.189, 0.749, 0.734)
O (0.189, 0.751, 0.234)
O (0.238, 0.112, 0.286)
O (0.238, 0.388, 0.786)
O (0.353, 0.056, 0.844)
O (0.353, 0.444, 0.344)
O (0.380, 0.244, 0.588)
O (0.380, 0.256, 0.088)
O (0.421, 0.672, 0.064)
O (0.421, 0.828, 0.564)
O (0.579, 0.172, 0.436)
O (0.579, 0.328, 0.936)
O (0.620, 0.744, 0.912)
O (0.620, 0.756, 0.412)
O (0.647, 0.556, 0.656)
O (0.647, 0.944, 0.156)
O (0.762, 0.612, 0.214)
O (0.762, 0.888, 0.714)
O (0.811, 0.249, 0.766)
O (0.811, 0.251, 0.266)
O (0.863, 0.050, 0.051)
O (0.863, 0.450, 0.551)
O (0.995, 0.034, 0.630)
O (0.995, 0.466, 0.130)

Calculated values
V, Å³/f.u.: 167
Symmetry: P2_1/c, No. 14
ΔE to the lowest computed polymorph, meV/atom: 14

[10]
Below is a relaxed structure of ThAl, with properties calculated at the PBE level.

abc: 3.366 3.366 5.299
angles: 90.00 90.00 120.00
Element x y z (fractional)
Th (0.000, 0.000, 0.000)
Al (0.333, 0.667, 0.500)

Calculated values
V, Å³/f.u.: 52
Uncorrected energy, eV/f.u.: -11.20
Symmetry: P-6m2, No. 187

[11]
Below is a relaxed structure of MgPtSeO, with properties calculated at the PBE level.

abc: 4.003 4.003 9.579
angles: 90.00 90.00 90.00
Element x y z (fractional)
Mg (0.250, 0.250, 0.128)
Mg (0.750, 0.750, 0.872)
Pt (0.250, 0.250, 0.557)
Pt (0.750, 0.750, 0.443)
Se (0.250, 0.250, 0.853)
Se (0.750, 0.750, 0.147)
O (0.250, 0.750, 0.500)
O (0.750, 0.250, 0.500)

Calculated values
V, Å³/f.u.: 77
Symmetry: P4/nmm, No. 129
ΔE to the lowest computed polymorph, meV/atom: 837

[12]
Below is a relaxed structure of Zr2Be2Ir, with properties calculated at the PBE level.

abc: 6.461 6.461 3.585
angles: 90.00 90.00 90.00
Element x y z (fractional)
Zr (0.177, 0.323, 0.000)
Zr (0.323, 0.823, 0.000)
Zr (0.677, 0.177, 0.000)
Zr (0.823, 0.677, 0.000)
Be (0.120, 0.620, 0.500)
Be (0.380, 0.120, 0.500)
Be (0.620, 0.880, 0.500)
Be (0.880, 0.380, 0.500)
Ir (0.000, 0.000, 0.500)
Ir (0.500, 0.500, 0.500)

Calculated values
V, Å³/f.u.: 75
Uncorrected energy, eV/f.u.: -36.04
Symmetry: P4/mbm, No. 127